Material: Zn5CuNi10
Method: DFT, GGA-PBE
State: optimized geometry

Results
Fermi-level density of states = 0.8893 states/eV/atom
SG = I422, No. 97
Magnetization = 0.08 μB per cell
Energy of formation from the pure elements = -21 meV/atom

Geometry as POSCAR:
```
Zn5CuNi10
1.0
4.293 0.000 1.558
2.146 6.479 0.779
-0.064 0.000 6.869
Ni Zn Cu
10 5 1
Direct
0.179 0.834 0.306
0.012 0.306 0.166
0.000 0.500 0.500
0.988 0.834 0.694
0.821 0.694 0.166
0.318 0.166 0.694
0.500 0.500 0.500
0.515 0.166 0.306
0.485 0.694 0.834
0.682 0.306 0.834
0.076 0.500 0.848
0.424 0.500 0.152
0.500 0.000 0.000
0.924 0.152 0.500
0.576 0.848 0.500
0.000 0.000 0.000
```